The following is a GGA-PBE calculation of crystalline Ti6Co2H at its relaxed geometry, from Alexandria.

As for the space group: No. 14. The calculation puts the uncorrected energy at -7.437 eV/atom. As for the magnetization: 0.000 μB per cell.

a = 5.2791 Å, b = 5.6034 Å, c = 9.9545 Å
α = 90.00°, β = 121.11°, γ = 90.00°
Closest atoms and distances in Å follow each position.
Positions (direct):
1 Ti 0.0894 0.0295 0.2503  1 H 2.29, 2 Co 2.44-2.47
2 Ti 0.0894 0.4705 0.7503  1 H 2.29, 2 Co 2.44-2.47
3 Ti 0.2019 0.6884 0.0530  1 H 1.97
4 Ti 0.2019 0.8116 0.5530  1 H 1.97
5 Ti 0.4091 0.1984 0.0543  1 H 2.23, 2 Co 2.38-2.41
6 Ti 0.4091 0.3016 0.5543  1 H 2.23, 2 Co 2.38-2.41
7 Ti 0.5909 0.6984 0.4457  1 H 2.23, 2 Co 2.38-2.41
8 Ti 0.5909 0.8016 0.9457  1 H 2.23, 2 Co 2.38-2.41
9 Ti 0.7981 0.1884 0.4470  1 H 1.97
10 Ti 0.7981 0.3116 0.9470  1 H 1.97
11 Ti 0.9106 0.5295 0.2497  1 H 2.29, 2 Co 2.44-2.47
12 Ti 0.9106 0.9705 0.7497  1 H 2.29, 2 Co 2.44-2.47
13 Co 0.3551 0.1130 0.7524  6 Ti 2.38-2.47
14 Co 0.3551 0.3870 0.2524  6 Ti 2.38-2.47
15 Co 0.6449 0.6130 0.7476  6 Ti 2.38-2.47
16 Co 0.6449 0.8870 0.2476  6 Ti 2.38-2.47
17 H 0.0000 0.0000 0.0000  2 Ti 1.97
18 H 0.0000 0.5000 0.5000  2 Ti 1.97

***

The following is a GGA-PBE calculation of crystalline KNaHf2 at its relaxed geometry, from Alexandria.

As for the space group: No. 225. The calculation puts the uncorrected energy at -4.099 eV/atom. As for the magnetization: 0.000 μB per cell. The calculated formation energy comes out at 1.48 eV per atom.

a = 5.3745 Å, b = 5.3745 Å, c = 5.3745 Å
α = 60.00°, β = 60.00°, γ = 60.00°
Closest atoms and distances in Å follow each position.
Positions (direct):
1 K 0.0000 0.0000 0.0000  8 Hf 3.29
2 Na 0.5000 0.5000 0.5000  8 Hf 3.29
3 Hf 0.2500 0.2500 0.2500  4 Na 3.29, 4 K 3.29
4 Hf 0.7500 0.7500 0.7500  4 K 3.29, 4 Na 3.29

***

The following is a GGA-PBE calculation of crystalline SrAgTe2 at its relaxed geometry, from Alexandria.

As for the space group: No. 12. The calculation puts the uncorrected energy at -3.351 eV/atom. As for the magnetization: 0.000 μB per cell. The value obtained for the raw formation energy is -647 meV/atom.

a = 5.2733 Å, b = 5.2733 Å, c = 4.2311 Å
α = 90.14°, β = 90.14°, γ = 98.76°
Closest atoms and distances in Å follow each position.
Positions (direct):
1 Sr 0.0000 0.0000 0.0000  8 Te 3.38, 2 Ag 3.43
2 Ag 0.5000 0.5000 0.0000  8 Te 3.38, 2 Sr 3.43
3 Te 0.0000 0.5000 0.5000  4 Sr 3.38, 4 Ag 3.38, 2 Te 3.43
4 Te 0.5000 0.0000 0.5000  4 Sr 3.38, 4 Ag 3.38, 2 Te 3.43

***

The following is a GGA-PBE calculation of crystalline GaAs2HSe at its relaxed geometry, from Alexandria.

As for the space group: No. 123. The calculation puts the uncorrected energy at -3.355 eV/atom. As for the magnetization: 0.000 μB per cell.

a = 4.0569 Å, b = 4.0569 Å, c = 5.2056 Å
α = 90.00°, β = 90.00°, γ = 90.00°
Closest atoms and distances in Å follow each position.
Positions (direct):
1 Ga 0.0000 0.0000 0.0000  4 Se 2.87
2 As 0.0000 0.5000 0.5000  2 H 2.03
3 As 0.5000 0.0000 0.5000  2 H 2.03
4 H 0.5000 0.5000 0.5000  4 As 2.03
5 Se 0.5000 0.5000 0.0000  2 H 2.60, 4 Ga 2.87

***

The following is a GGA-PBE calculation of crystalline Pr2ErP at its relaxed geometry, from Alexandria.

As for the space group: No. 166. The calculation puts the uncorrected energy at -5.318 eV/atom. As for the magnetization: 0.000 μB per cell. The calculated formation energy comes out at -0.43 eV per atom.

a = 10.5069 Å, b = 10.5069 Å, c = 10.5069 Å
α = 21.28°, β = 21.28°, γ = 21.28°
Closest atoms and distances in Å follow each position.
Positions (direct):
1 Pr 0.1114 0.1114 0.1114  3 P 2.81
2 Pr 0.8886 0.8886 0.8886  3 P 2.81
3 Er 0.0000 0.0000 0.0000  2 Pr 3.43
4 P 0.5000 0.5000 0.5000  6 Pr 2.81

***

The following is a GGA-PBE calculation of crystalline SmGdErTm at its relaxed geometry, from Alexandria.

As for the space group: No. 216. The calculation puts the uncorrected energy at -6.852 eV/atom. As for the magnetization: 7.731 μB per cell. The calculated formation energy comes out at 0.11 eV per atom.

a = 5.6580 Å, b = 5.6580 Å, c = 5.6580 Å
α = 60.00°, β = 60.00°, γ = 60.00°
Closest atoms and distances in Å follow each position.
Positions (direct):
1 Sm 0.0000 0.0000 0.0000  4 Er 3.46, 4 Tm 3.46
2 Gd 0.5000 0.5000 0.5000  4 Er 3.46, 4 Tm 3.46
3 Er 0.7500 0.7500 0.7500  4 Gd 3.46, 4 Sm 3.46
4 Tm 0.2500 0.2500 0.2500  4 Gd 3.46, 4 Sm 3.46

***

The following is a GGA-PBE calculation of crystalline PmTcBi2 at its relaxed geometry, from Alexandria.

As for the space group: No. 123. The calculation puts the uncorrected energy at -5.564 eV/atom. As for the magnetization: 2.266 μB per cell. The calculated formation energy comes out at 0.16 eV per atom.

a = 4.9712 Å, b = 4.9712 Å, c = 4.1388 Å
α = 90.00°, β = 90.00°, γ = 90.00°
Closest atoms and distances in Å follow each position.
Positions (direct):
1 Pm 0.0000 0.0000 0.0000  8 Bi 3.23, 4 Tc 3.52
2 Tc 0.5000 0.5000 0.0000  8 Bi 3.23, 4 Pm 3.52
3 Bi 0.0000 0.5000 0.5000  4 Tc 3.23, 4 Pm 3.23, 4 Bi 3.52
4 Bi 0.5000 0.0000 0.5000  4 Tc 3.23, 4 Pm 3.23, 4 Bi 3.52

***

The following is a GGA-PBE calculation of crystalline CaGeBr2 at its relaxed geometry, from Alexandria.

As for the space group: No. 6. The calculation puts the uncorrected energy at -3.668 eV/atom. As for the magnetization: 0.000 μB per cell. The value obtained for the raw formation energy is -1177 meV/atom.

a = 6.7661 Å, b = 4.1494 Å, c = 8.6620 Å
α = 90.00°, β = 94.89°, γ = 90.00°
Closest atoms and distances in Å follow each position.
Positions (direct):
1 Ca 0.0000 0.0000 0.0000  4 Br 2.92-3.18, 3 Ge 3.08-3.15
2 Ca 0.3859 0.0000 0.4459  6 Br 2.82-2.95
3 Ge 0.4465 0.0000 0.9542  2 Ge 2.61, 1 Br 2.73
4 Ge 0.6633 0.5000 0.8985  2 Ge 2.61, 1 Br 2.64
5 Br 0.1312 0.0000 0.6872  2 Ca 2.82-2.92, 1 Ge 3.01
6 Br 0.1709 0.5000 0.2563  4 Ca 2.95-3.18
7 Br 0.6383 0.5000 0.5925  1 Ge 2.64, 2 Ca 2.91
8 Br 0.6891 0.0000 0.2227  1 Ge 2.73, 2 Ca 2.94-2.97

***

The following is a GGA-PBE calculation of crystalline Ta4MoW at its relaxed geometry, from Alexandria.

As for the space group: No. 123. The calculation puts the uncorrected energy at -11.982 eV/atom. As for the magnetization: 0.000 μB per cell. The calculated formation energy comes out at -0.12 eV per atom.

a = 3.2514 Å, b = 3.2514 Å, c = 9.8592 Å
α = 90.00°, β = 90.00°, γ = 90.00°
Closest atoms and distances in Å follow each position.
Positions (direct):
1 Ta 0.0000 0.0000 0.1601  4 Mo 2.79, 4 Ta 2.90
2 Ta 0.0000 0.0000 0.8399  4 Mo 2.79, 4 Ta 2.90
3 Ta 0.5000 0.5000 0.3388  4 W 2.79, 4 Ta 2.90
4 Ta 0.5000 0.5000 0.6612  4 W 2.79, 4 Ta 2.90
5 Mo 0.5000 0.5000 0.0000  8 Ta 2.79
6 W 0.0000 0.0000 0.5000  8 Ta 2.79

***

The following is a GGA-PBE calculation of crystalline BaSr2HgS at its relaxed geometry, from Alexandria.

As for the space group: No. 123. The calculation puts the uncorrected energy at -2.793 eV/atom. As for the magnetization: 0.000 μB per cell. The value obtained for the raw formation energy is -850 meV/atom.

a = 5.7137 Å, b = 5.7137 Å, c = 6.2293 Å
α = 90.00°, β = 90.00°, γ = 90.00°
Closest atoms and distances in Å follow each position.
Positions (direct):
1 Ba 0.0000 0.0000 0.0000  2 S 3.11
2 Sr 0.0000 0.5000 0.5000  2 S 2.86
3 Sr 0.5000 0.0000 0.5000  2 S 2.86
4 Hg 0.5000 0.5000 0.0000  4 Ba 4.04, 8 Sr 4.23
5 S 0.0000 0.0000 0.5000  4 Sr 2.86, 2 Ba 3.11

***

The following is a GGA-PBE calculation of crystalline ZnAg3Pt at its relaxed geometry, from Alexandria.

As for the space group: No. 221. The calculation puts the uncorrected energy at -2.391 eV/atom. As for the magnetization: 0.000 μB per cell. The calculated formation energy comes out at 0.78 eV per atom.

a = 5.1245 Å, b = 5.1245 Å, c = 5.1245 Å
α = 90.00°, β = 90.00°, γ = 90.00°
Closest atoms and distances in Å follow each position.
Positions (direct):
1 Zn 0.0000 0.0000 0.0000  12 Ag 3.62
2 Ag 0.0000 0.5000 0.5000  2 Pt 2.56
3 Ag 0.5000 0.0000 0.5000  2 Pt 2.56
4 Ag 0.5000 0.5000 0.0000  2 Pt 2.56
5 Pt 0.5000 0.5000 0.5000  6 Ag 2.56

***

The following is a GGA-PBE calculation of crystalline AcTb6PrY2 at its relaxed geometry, from Alexandria.

As for the space group: No. 15. The calculation puts the uncorrected energy at -4.829 eV/atom. As for the magnetization: 0.000 μB per cell. The calculated formation energy comes out at 0.13 eV per atom.

a = 8.9565 Å, b = 8.9565 Å, c = 9.5560 Å
α = 92.30°, β = 92.30°, γ = 116.38°
Closest atoms and distances in Å follow each position.
Positions (direct):
1 Ac 0.0403 0.9597 0.7500  4 Y 3.47-3.62, 6 Tb 3.61-3.84
2 Ac 0.9597 0.0403 0.2500  4 Y 3.47-3.62, 6 Tb 3.61-3.84
3 Tb 0.0104 0.5483 0.6772  3 Tb 3.23-3.61, 2 Y 3.49-3.50, 1 Pr 3.52, 1 Ac 3.61
4 Tb 0.1148 0.7557 0.0596  6 Tb 3.45-3.75, 1 Y 3.59, 2 Ac 3.73-3.84
5 Tb 0.2443 0.8852 0.4404  6 Tb 3.45-3.75, 1 Y 3.59, 2 Ac 3.73-3.84
6 Tb 0.2906 0.5238 0.8860  4 Tb 3.23-3.52, 3 Y 3.35-3.53, 2 Pr 3.53-3.55
7 Tb 0.4517 0.9896 0.8228  3 Tb 3.23-3.61, 2 Y 3.49-3.50, 1 Pr 3.52, 1 Ac 3.61
8 Tb 0.4762 0.7094 0.6140  4 Tb 3.23-3.52, 3 Y 3.35-3.53, 2 Pr 3.53-3.55
9 Tb 0.5238 0.2906 0.3860  4 Tb 3.23-3.52, 3 Y 3.35-3.53, 2 Pr 3.53-3.55
10 Tb 0.5483 0.0104 0.1772  3 Tb 3.23-3.61, 2 Y 3.49-3.50, 1 Pr 3.52, 1 Ac 3.61
11 Tb 0.7094 0.4762 0.1140  4 Tb 3.23-3.52, 3 Y 3.35-3.53, 2 Pr 3.53-3.55
12 Tb 0.7557 0.1148 0.5596  6 Tb 3.45-3.75, 1 Y 3.59, 2 Ac 3.73-3.84
13 Tb 0.8852 0.2443 0.9404  6 Tb 3.45-3.75, 1 Y 3.59, 2 Ac 3.73-3.84
14 Tb 0.9896 0.4517 0.3228  3 Tb 3.23-3.61, 2 Y 3.49-3.50, 1 Pr 3.52, 1 Ac 3.61
15 Pr 0.4105 0.5895 0.2500  6 Tb 3.52-3.55, 4 Y 3.60-3.88
16 Pr 0.5895 0.4105 0.7500  6 Tb 3.52-3.55, 4 Y 3.60-3.88
17 Y 0.2020 0.3074 0.5527  6 Tb 3.35-3.59, 2 Ac 3.47-3.62, 1 Pr 3.60
18 Y 0.3074 0.2020 0.0527  6 Tb 3.35-3.59, 2 Ac 3.47-3.62, 1 Pr 3.60
19 Y 0.6926 0.7980 0.9473  6 Tb 3.35-3.59, 2 Ac 3.47-3.62, 1 Pr 3.60
20 Y 0.7980 0.6926 0.4473  6 Tb 3.35-3.59, 2 Ac 3.47-3.62, 1 Pr 3.60